No. 1
Computed, not measured: crystalline SmHo2Al at its relaxed geometry at the PBE level of DFT.

Cell: 4.771 4.780 4.780 Å, 90.00 90.00 90.00°
Element x y z (fractional)
Sm: 0.500 0.500 0.500
Ho: 0.000 0.500 0.000
Ho: 0.000 0.000 0.500
Al: 0.500 0.000 0.000

Volume   109 Å³/cell
Energy relative to the lowest polymorph listed for this composition   0.015 eV/atom
Calculated formation energy   -0.180 eV/atom
Crystal system   tetragonal
Fermi-level density of states   5.56 states/eV/cell

=====

No. 2
Computed, not measured: crystalline Sm5HoAl3 at its relaxed geometry at the PBE level of DFT.

Cell: 6.754 9.206 9.207 Å, 120.00 90.00 90.00°
Element x y z (fractional)
Sm: 0.250 0.000 0.665
Sm: 0.250 0.335 0.335
Sm: 0.000 0.667 0.334
Sm: 0.000 0.333 0.666
Sm: 0.500 0.667 0.334
Sm: 0.750 0.000 0.335
Sm: 0.750 0.335 0.000
Sm: 0.500 0.333 0.666
Sm: 0.750 0.665 0.665
Sm: 0.250 0.665 0.000
Al: 0.750 0.000 0.671
Al: 0.750 0.671 0.000
Al: 0.250 0.329 0.000
Al: 0.750 0.329 0.329
Al: 0.250 0.000 0.329
Al: 0.250 0.671 0.671
Ho: 0.000 0.000 0.000
Ho: 0.500 0.000 0.000

Volume   496 Å³/cell
Calculated formation energy   -0.245 eV/atom
Crystal system   hexagonal
Fermi-level density of states   20.87 states/eV/cell